(1)
A plane-wave DFT calculation with PBE-GGA was carried out for CaRh2Se2 after structural relaxation.

POSCAR file:
```
CaRh2Se2
1.0
4.741 0.000 0.000
0.000 4.741 0.000
2.370 2.370 4.407
Rh Se Ca
2 2 1
Direct
0.653 0.653 0.694 Rh
0.347 0.347 0.306 Rh
0.750 0.250 0.500 Se
0.250 0.750 0.500 Se
0.000 0.000 0.000 Ca
```

Properties
- relative energy among the computed polymorphs (kJ per mole of atoms) = 0.0
- DOS at the Fermi energy (states/eV/cell) = 0.92
- total DFT energy (no corrections) (eV/atom) = -5.36



(2)
A plane-wave DFT calculation with PBE-GGA was carried out for CaRh2Se after structural relaxation.

POSCAR file:
```
CaRh2Se
1.0
4.489 0.000 0.000
0.000 3.856 -0.131
0.000 0.659 4.581
Rh Se Ca
2 1 1
Direct
0.000 0.116 0.010 Rh
0.000 0.384 0.490 Rh
0.500 0.250 0.250 Se
0.500 0.750 0.750 Ca
```

Properties
- DOS at the Fermi energy (states/eV/cell) = 3.62
- total DFT energy (no corrections) (eV/atom) = -5.31



(3)
A plane-wave DFT calculation with PBE-GGA was carried out for CaRhSe after structural relaxation.

POSCAR file:
```
CaRhSe
1.0
4.627 0.000 0.000
2.313 4.007 0.000
2.313 1.336 3.778
Ca Se Rh
1 1 1
Direct
0.750 0.750 0.750 Ca
0.500 0.500 0.500 Se
0.000 0.000 0.000 Rh
```

Properties
- relative energy among the computed polymorphs (kJ per mole of atoms) = 77.8
- DOS at the Fermi energy (states/eV/cell) = 2.54
- total DFT energy (no corrections) (eV/atom) = -4.42



(4)
A plane-wave DFT calculation with PBE-GGA was carried out for CaRh6Se8 after structural relaxation.

POSCAR file:
```
CaRh6Se8
1.0
6.702 0.115 -0.098
-0.101 6.703 -0.098
0.111 0.115 6.702
Se Rh Ca
8 6 1
Direct
0.369 0.142 0.748 Se
0.244 0.244 0.244 Se
0.252 0.631 0.858 Se
0.756 0.756 0.756 Se
0.631 0.858 0.252 Se
0.142 0.748 0.369 Se
0.858 0.252 0.631 Se
0.748 0.369 0.142 Se
0.814 0.592 0.435 Rh
0.408 0.565 0.186 Rh
0.435 0.814 0.592 Rh
0.565 0.186 0.408 Rh
0.592 0.435 0.814 Rh
0.186 0.408 0.565 Rh
0.000 0.000 0.000 Ca
```

Properties
- DOS at the Fermi energy (states/eV/cell) = 8.03
- total DFT energy (no corrections) (eV/atom) = -5.44